1.
Er2Cd3Pd8 | GGA-PBE | relaxed

a = 10.626 Å, b = 10.626 Å, c = 10.626 Å
α = 29.17°, β = 29.17°, γ = 29.17°
Fractional coordinates of all 13 atoms:
Er  0.133  0.133  0.133
Er  0.867  0.867  0.867
Cd  0.313  0.313  0.313
Cd  0.500  0.500  0.500
Cd  0.687  0.687  0.687
Pd  0.222  0.222  0.222
Pd  0.228  0.228  0.723
Pd  0.228  0.723  0.228
Pd  0.277  0.772  0.772
Pd  0.723  0.228  0.228
Pd  0.772  0.277  0.772
Pd  0.772  0.772  0.277
Pd  0.778  0.778  0.778

Calculated values
N(E_F): 0.552 states/eV/atom
energy relative to the elements: -4.5 eV/f.u.



2.
LaDySc2Hg4 | GGA-PBE | relaxed

a = 9.134 Å, b = 9.134 Å, c = 9.134 Å
α = 32.94°, β = 32.94°, γ = 32.94°
Fractional coordinates of all 8 atoms:
La  0.000  0.000  0.000
Dy  0.500  0.500  0.500
Sc  0.248  0.248  0.248
Sc  0.752  0.752  0.752
Hg  0.128  0.128  0.128
Hg  0.381  0.381  0.381
Hg  0.619  0.619  0.619
Hg  0.872  0.872  0.872

Calculated values
N(E_F): 1.097 states/eV/atom
energy relative to the elements: -3.4 eV/f.u.



3.
Tb2PmCu4 | GGA-PBE | relaxed

a = 6.533 Å, b = 6.533 Å, c = 6.533 Å
α = 132.08°, β = 132.08°, γ = 70.10°
Fractional coordinates of all 7 atoms:
Tb  0.199  0.199  0.000
Tb  0.801  0.801  0.000
Pm  0.500  0.500  0.000
Cu  0.124  0.624  0.500
Cu  0.376  0.876  0.500
Cu  0.624  0.124  0.500
Cu  0.876  0.376  0.500

Calculated values
N(E_F): 0.818 states/eV/atom
energy relative to the elements: 0.1 eV/f.u.



4.
Co3Te5H | GGA-PBE | relaxed

a = 6.738 Å, b = 6.738 Å, c = 9.091 Å
α = 101.49°, β = 101.49°, γ = 75.73°
Fractional coordinates of all 18 atoms:
Co  0.000  0.000  0.000
Co  0.000  0.000  0.500
Co  0.323  0.323  0.351
Co  0.335  0.335  0.850
Co  0.665  0.665  0.150
Co  0.677  0.677  0.649
Te  0.063  0.675  0.810
Te  0.233  0.233  0.577
Te  0.299  0.701  0.500
Te  0.325  0.937  0.190
Te  0.415  0.415  0.128
Te  0.585  0.585  0.872
Te  0.675  0.063  0.810
Te  0.701  0.299  0.500
Te  0.767  0.767  0.423
Te  0.937  0.325  0.190
H  0.199  0.199  0.876
H  0.801  0.801  0.124

Calculated values
N(E_F): 0.916 states/eV/atom
raw total energy: -4.359 eV per atom



5.
NpVRh | GGA-PBE | relaxed

a = 6.256 Å, b = 6.256 Å, c = 6.256 Å
α = 153.10°, β = 153.10°, γ = 38.41°
Fractional coordinates of all 3 atoms:
Np  0.000  0.000  0.000
V  0.322  0.322  0.000
Rh  0.695  0.695  0.000

Calculated values
N(E_F): 1.714 states/eV/atom
energy relative to the elements: -0.1 eV/f.u.



6.
SrEuSe2 | GGA-PBE | relaxed

a = 7.627 Å, b = 7.627 Å, c = 7.627 Å
α = 33.51°, β = 33.51°, γ = 33.51°
Fractional coordinates of all 4 atoms:
Sr  0.000  0.000  0.000
Eu  0.500  0.500  0.500
Se  0.248  0.248  0.248
Se  0.752  0.752  0.752

Calculated values
N(E_F): 3.262 states/eV/atom
formation energy from raw total energies: -2.0427 eV/atom



7.
ErNi7B3 | GGA-PBE | relaxed

a = 9.484 Å, b = 9.484 Å, c = 9.484 Å
α = 132.43°, β = 132.43°, γ = 69.54°
Fractional coordinates of all 44 atoms:
Er  0.091  0.341  0.750
Er  0.341  0.091  0.250
Er  0.659  0.909  0.750
Er  0.909  0.659  0.250
Ni  0.000  0.500  0.500
Ni  0.019  0.932  0.088
Ni  0.068  0.656  0.088
Ni  0.068  0.981  0.412
Ni  0.188  0.438  0.376
Ni  0.188  0.812  0.750
Ni  0.232  0.270  0.538
Ni  0.232  0.694  0.962
Ni  0.270  0.232  0.038
Ni  0.306  0.768  0.538
Ni  0.344  0.932  0.412
Ni  0.438  0.188  0.876
Ni  0.438  0.562  0.250
Ni  0.500  0.000  0.000
Ni  0.500  0.500  0.000
Ni  0.500  0.500  0.500
Ni  0.562  0.438  0.750
Ni  0.562  0.812  0.124
Ni  0.656  0.068  0.588
Ni  0.694  0.232  0.462
Ni  0.730  0.768  0.962
Ni  0.768  0.306  0.038
Ni  0.768  0.730  0.462
Ni  0.812  0.188  0.250
Ni  0.812  0.562  0.624
Ni  0.932  0.019  0.588
Ni  0.932  0.344  0.912
Ni  0.981  0.068  0.912
B  0.000  0.210  0.210
B  0.000  0.790  0.790
B  0.210  0.000  0.710
B  0.210  0.500  0.210
B  0.316  0.566  0.750
B  0.434  0.684  0.750
B  0.500  0.210  0.710
B  0.500  0.790  0.290
B  0.566  0.316  0.250
B  0.684  0.434  0.250
B  0.790  0.000  0.290
B  0.790  0.500  0.790

Calculated values
N(E_F): 0.449 states/eV/atom
energy relative to the elements: -4.7 eV/f.u.



8.
BaInHg3 | GGA-PBE | relaxed

a = 5.603 Å, b = 5.603 Å, c = 5.603 Å
α = 90.00°, β = 90.00°, γ = 90.00°
Fractional coordinates of all 5 atoms:
Ba  0.000  0.000  0.000
In  0.500  0.500  0.500
Hg  0.000  0.500  0.500
Hg  0.500  0.000  0.500
Hg  0.500  0.500  0.000

Calculated values
N(E_F): 0.951 states/eV/atom
energy relative to the elements: -0.8 eV/f.u.



9.
SrTiSiPb2 | GGA-PBE | relaxed

a = 5.420 Å, b = 5.420 Å, c = 5.641 Å
α = 90.00°, β = 90.00°, γ = 90.00°
Fractional coordinates of all 5 atoms:
Sr  0.000  0.000  0.000
Ti  0.500  0.500  0.000
Si  0.000  0.000  0.500
Pb  0.000  0.500  0.500
Pb  0.500  0.000  0.500

Calculated values
N(E_F): 1.447 states/eV/atom
formation energy from raw total energies: 0.7817 eV/atom



10.
CaAc4Te5 | GGA-PBE | relaxed

a = 19.449 Å, b = 19.449 Å, c = 19.449 Å
α = 13.83°, β = 13.83°, γ = 13.83°
Fractional coordinates of all 10 atoms:
Ca  0.000  0.000  0.000
Ac  0.201  0.201  0.201
Ac  0.399  0.399  0.399
Ac  0.601  0.601  0.601
Ac  0.799  0.799  0.799
Te  0.099  0.099  0.099
Te  0.303  0.303  0.303
Te  0.500  0.500  0.500
Te  0.697  0.697  0.697
Te  0.901  0.901  0.901

Calculated values
N(E_F): 0.420 states/eV/atom
formation energy from raw total energies: -1.5149 eV/atom



11.
Nd6AlCd | GGA-PBE | relaxed

a = 7.103 Å, b = 7.103 Å, c = 6.880 Å
α = 103.99°, β = 103.99°, γ = 117.57°
Fractional coordinates of all 8 atoms:
Nd  0.016  0.425  0.251
Nd  0.239  0.239  0.750
Nd  0.425  0.016  0.251
Nd  0.575  0.984  0.749
Nd  0.761  0.761  0.250
Nd  0.984  0.575  0.749
Al  0.000  0.000  0.000
Cd  0.500  0.500  0.500

Calculated values
N(E_F): 1.576 states/eV/atom
energy relative to the elements: 1.0 eV/f.u.



12.
Pm3In4AgTe8 | GGA-PBE | relaxed

a = 9.294 Å, b = 9.294 Å, c = 9.294 Å
α = 57.27°, β = 57.27°, γ = 57.27°
Fractional coordinates of all 16 atoms:
Pm  0.000  0.500  0.500
Pm  0.500  0.000  0.500
Pm  0.500  0.500  0.000
In  0.000  0.000  0.500
In  0.000  0.500  0.000
In  0.500  0.000  0.000
In  0.500  0.500  0.500
Ag  0.000  0.000  0.000
Te  0.246  0.246  0.745
Te  0.246  0.745  0.246
Te  0.255  0.255  0.255
Te  0.255  0.754  0.754
Te  0.745  0.246  0.246
Te  0.745  0.745  0.745
Te  0.754  0.255  0.754
Te  0.754  0.754  0.255

Calculated values
N(E_F): 0.330 states/eV/atom
formation energy from raw total energies: -0.7436 eV/atom



13.
Cs2MgPb2 | GGA-PBE | relaxed

a = 11.358 Å, b = 11.358 Å, c = 3.689 Å
α = 90.00°, β = 90.00°, γ = 90.00°
Fractional coordinates of all 10 atoms:
Cs  0.202  0.298  0.000
Cs  0.298  0.798  0.000
Cs  0.702  0.202  0.000
Cs  0.798  0.702  0.000
Mg  0.000  0.000  0.500
Mg  0.500  0.500  0.500
Pb  0.094  0.594  0.500
Pb  0.406  0.094  0.500
Pb  0.594  0.906  0.500
Pb  0.906  0.406  0.500

Calculated values
N(E_F): 0.690 states/eV/atom
energy relative to the elements: 0.8 eV/f.u.



14.
Er4ZnGa12 | GGA-PBE | relaxed

a = 7.492 Å, b = 7.492 Å, c = 7.492 Å
α = 109.47°, β = 109.47°, γ = 109.47°
Fractional coordinates of all 17 atoms:
Er  0.000  0.000  0.500
Er  0.000  0.500  0.000
Er  0.500  0.000  0.000
Er  0.500  0.500  0.500
Zn  0.000  0.000  0.000
Ga  0.000  0.301  0.301
Ga  0.000  0.699  0.699
Ga  0.250  0.500  0.750
Ga  0.250  0.750  0.500
Ga  0.301  0.000  0.301
Ga  0.301  0.301  0.000
Ga  0.500  0.250  0.750
Ga  0.500  0.750  0.250
Ga  0.699  0.000  0.699
Ga  0.699  0.699  0.000
Ga  0.750  0.250  0.500
Ga  0.750  0.500  0.250

Calculated values
N(E_F): 0.431 states/eV/atom
energy relative to the elements: -7.9 eV/f.u.



15.
Be3Ru | GGA-PBE | relaxed

a = 4.430 Å, b = 4.430 Å, c = 4.430 Å
α = 116.64°, β = 116.64°, γ = 116.64°
Fractional coordinates of all 4 atoms:
Be  0.000  0.500  0.500
Be  0.500  0.000  0.500
Be  0.500  0.500  0.000
Ru  0.000  0.000  0.000

Calculated values
N(E_F): 0.540 states/eV/atom
energy relative to the elements: -0.1 eV/f.u.



16.
MgCd5Cu | GGA-PBE | relaxed

a = 4.599 Å, b = 4.599 Å, c = 7.053 Å
α = 90.00°, β = 90.00°, γ = 90.00°
Fractional coordinates of all 7 atoms:
Mg  0.000  0.000  0.000
Cd  0.000  0.500  0.291
Cd  0.000  0.500  0.709
Cd  0.500  0.000  0.291
Cd  0.500  0.000  0.709
Cd  0.500  0.500  0.000
Cu  0.000  0.000  0.500

Calculated values
N(E_F): 0.275 states/eV/atom
energy relative to the elements: -0.2 eV/f.u.



17.
TbPmBeAu | GGA-PBE | relaxed

a = 5.078 Å, b = 5.078 Å, c = 5.078 Å
α = 60.00°, β = 60.00°, γ = 60.00°
Fractional coordinates of all 4 atoms:
Tb  0.000  0.000  0.000
Pm  0.500  0.500  0.500
Be  0.750  0.750  0.750
Au  0.250  0.250  0.250

Calculated values
N(E_F): 0.550 states/eV/atom
energy relative to the elements: -1.1 eV/f.u.



18.
Th2HgC2 | GGA-PBE | relaxed

a = 8.166 Å, b = 8.166 Å, c = 6.564 Å
α = 97.05°, β = 97.05°, γ = 30.31°
Fractional coordinates of all 10 atoms:
Th  0.043  0.644  0.841
Th  0.356  0.957  0.659
Th  0.644  0.043  0.341
Th  0.957  0.356  0.159
Hg  0.304  0.696  0.250
Hg  0.696  0.304  0.750
C  0.144  0.410  0.469
C  0.410  0.144  0.969
C  0.590  0.856  0.031
C  0.856  0.590  0.531

Calculated values
N(E_F): 0.734 states/eV/atom
energy relative to the elements: -1.3 eV/f.u.



19.
BeNiRu2 | GGA-PBE | relaxed

a = 4.057 Å, b = 4.057 Å, c = 2.864 Å
α = 90.00°, β = 90.00°, γ = 90.00°
Fractional coordinates of all 4 atoms:
Be  0.000  0.000  0.000
Ni  0.500  0.500  0.000
Ru  0.000  0.500  0.500
Ru  0.500  0.000  0.500

Calculated values
N(E_F): 1.239 states/eV/atom
energy relative to the elements: 0.2 eV/f.u.



20.
CuRhAu2 | GGA-PBE | relaxed

a = 2.785 Å, b = 3.861 Å, c = 5.860 Å
α = 90.00°, β = 90.27°, γ = 90.00°
Fractional coordinates of all 4 atoms:
Cu  0.000  0.000  0.000
Rh  0.000  0.000  0.500
Au  0.498  0.500  0.243
Au  0.502  0.500  0.757

Calculated values
N(E_F): 0.907 states/eV/atom
energy relative to the elements: 0.4 eV/f.u.